{"formula": "BaAg2Os", "functional": "PBE", "state": "optimized geometry", "lattice_angstrom": [[2.954, 0.000, 0.000], [0.000, 4.108, 0.000], [0.000, 0.000, 7.511]], "species": ["Ba", "Ag", "Ag", "Os"], "fractional_positions": [[0.000, 0.000, 0.000], [0.000, 0.000, 0.459], [0.500, 0.500, 0.662], [0.500, 0.500, 0.285]], "e_above_lowest_polymorph_ev_per_atom": 0.002, "space_group": "Pmm2", "n_ef_per_ev_cell": 4.2, "formation_enthalpy_0k_mev_per_atom": 729}